1.
Material: ZrRe
Method: DFT, SCAN
State: PBEsol geometry

Summary:
- ΔE_f (eV/atom) = 0.089
- E_tot (eV/atom) = -50.809

```
ZrRe
1.0
1.595 -2.342 0.000
1.595 2.342 0.000
0.000 0.000 9.383
Zr Re
2 2
direct
0.250 0.750 0.852
0.750 0.250 0.148
0.250 0.750 0.390
0.750 0.250 0.610
```

***

2.
Material: Zr3Re
Method: DFT, SCAN
State: PBEsol geometry

Summary:
- ΔE_f (eV/atom) = -0.016
- E_tot (eV/atom) = -40.815

```
Zr3Re
1.0
4.786 0.000 0.000
0.000 4.786 0.000
0.000 0.000 3.334
Zr Re
3 1
direct
0.000 0.000 0.000
0.000 0.500 0.500
0.500 0.000 0.500
0.500 0.500 0.000
```

***

3.
Material: ZrRe2
Method: DFT, SCAN
State: PBEsol geometry

Summary:
- ΔE_f (eV/atom) = -0.446
- E_tot (eV/atom) = -58.077

```
ZrRe2
1.0
0.000 3.715 3.715
3.715 0.000 3.715
3.715 3.715 0.000
Zr Re
2 4
direct
0.125 0.125 0.125
0.875 0.875 0.875
0.000 0.500 0.500
0.500 0.000 0.500
0.500 0.500 0.000
0.500 0.500 0.500
```

***

4.
Material: ZrRe
Method: DFT, SCAN
State: PBEsol geometry

Summary:
- ΔE_f (eV/atom) = -0.174
- E_tot (eV/atom) = -51.072

```
ZrRe
1.0
0.000 3.237 3.237
3.237 0.000 3.237
3.237 3.237 0.000
Zr Re
2 2
direct
0.125 0.125 0.125
0.875 0.875 0.875
0.375 0.375 0.375
0.625 0.625 0.625
```

***

5.
Material: ZrRe2
Method: DFT, SCAN
State: PBEsol geometry

Summary:
- ΔE_f (eV/atom) = -0.073
- E_tot (eV/atom) = -57.704

```
ZrRe2
1.0
4.486 0.000 0.000
-2.243 3.885 0.000
0.000 0.000 2.797
Zr Re
1 2
direct
0.000 0.000 0.000
0.333 0.667 0.350
0.667 0.333 0.650
```

***

6.
Material: Zr2Re
Method: DFT, SCAN
State: PBEsol geometry

Summary:
- ΔE_f (eV/atom) = -0.190
- E_tot (eV/atom) = -44.355

```
Zr2Re
1.0
10.124 0.000 0.000
0.000 10.124 0.000
0.000 0.000 5.551
Zr Re
20 10
direct
0.031 0.370 0.000
0.101 0.101 0.000
0.130 0.531 0.500
0.185 0.815 0.250
0.185 0.815 0.750
0.315 0.315 0.250
0.315 0.315 0.750
0.370 0.031 0.000
0.399 0.601 0.500
0.469 0.870 0.500
0.531 0.130 0.500
0.601 0.399 0.500
0.630 0.969 0.000
0.685 0.685 0.250
0.685 0.685 0.750
0.815 0.185 0.250
0.815 0.185 0.750
0.870 0.469 0.500
0.899 0.899 0.000
0.969 0.630 0.000
0.000 0.000 0.500
0.065 0.248 0.500
0.248 0.065 0.500
0.252 0.565 0.000
0.435 0.748 0.000
0.500 0.500 0.000
0.565 0.252 0.000
0.748 0.435 0.000
0.752 0.935 0.500
0.935 0.752 0.500
```

***

7.
Material: ZrRe2
Method: DFT, SCAN
State: PBEsol geometry

Summary:
- ΔE_f (eV/atom) = -0.483
- E_tot (eV/atom) = -58.114

```
ZrRe2
1.0
5.247 0.000 0.000
-2.623 4.544 0.000
0.000 0.000 8.594
Zr Re
4 8
direct
0.333 0.667 0.061
0.333 0.667 0.439
0.667 0.333 0.561
0.667 0.333 0.939
0.000 0.000 0.000
0.000 0.000 0.500
0.171 0.342 0.750
0.171 0.829 0.750
0.342 0.171 0.250
0.658 0.829 0.750
0.829 0.171 0.250
0.829 0.658 0.250
```

***

8.
Material: Zr3Re
Method: DFT, SCAN
State: PBEsol geometry

Summary:
- ΔE_f (eV/atom) = 0.036
- E_tot (eV/atom) = -40.763

```
Zr3Re
1.0
4.699 2.713 0.994
-4.699 2.713 0.994
0.000 -5.425 0.994
Zr Re
3 1
direct
0.000 0.500 0.500
0.500 0.000 0.500
0.500 0.500 0.000
0.000 0.000 0.000
```